1.
DFT (GGA-PBE) results for a geometry-optimized K5Rb5O2 structure.

Output
ΔE_f (raw) (eV per formula unit): -5.77

a = 16.5454 Å, b = 4.3093 Å, c = 19.0452 Å
α = 90.00°, β = 92.93°, γ = 90.00°
Closest atoms and distances in Å follow each position.
Space group C2/m (No. 12)
Asymmetric unit:
K  0.0000  0.0000  0.0000  2 K 4.31
K  0.1447  0.0000  0.7331  2 O 2.74
K  0.2440  0.0000  0.3902  1 O 2.59
Rb  0.0000  0.0000  0.5000  2 Rb 4.31, 2 K 4.64
Rb  0.1363  0.5000  0.2414  2 O 2.90
Rb  0.2286  0.5000  0.8862  1 O 2.72
O  0.2465  0.5000  0.7453  3 K 2.59-2.74, 3 Rb 2.72-2.90

2.
DFT (GGA-PBE) results for a geometry-optimized LaCrTc2 structure.

Output
Polymorph energy (0 for the lowest one) (kJ/mol of formula units): 109
Formation energy from the elements (eV per atom): 0.58

a = 3.1343 Å, b = 4.7988 Å, c = 9.1545 Å
α = 90.00°, β = 90.00°, γ = 90.00°
Closest atoms and distances in Å follow each position.
Space group Cmm2 (No. 35)
Asymmetric unit:
La  0.0000  0.0000  0.0000  6 La 2.87-3.13, 2 Tc 3.05, 2 Cr 3.07
Cr  0.0000  0.5000  0.7115  2 Tc 2.38
Tc  0.0000  0.0000  0.5160  2 Cr 2.38, 2 Tc 2.63
Tc  0.0000  0.5000  0.2860  6 Tc 2.63-2.87

Across the entries above, M_tot takes the values 0.00; 0.00 μB/f.u., respectively.
Across the entries above, final energy takes the values -2.1677; -8.2390 eV/atom, respectively.
Across the entries above, DOS at the Fermi energy takes the values 12.49; 9.85 states/eV/cell, respectively.